# 1
{"formula": "BaScH", "functional": "PBE", "state": "relaxed", "lattice_angstrom": [[-1.4889, -2.1457, -2.4368], [3.4005, 1.0210, -0.3588], [3.8036, -10.2987, 6.7445]], "species": ["Ba", "Ba", "H", "H", "Sc", "Sc"], "fractional_positions": [[0.6123, 0.2247, 0.6457], [0.6123, 0.2247, 0.3543], [0.6087, 0.2175, 0.0000], [0.2791, 0.5582, 0.5000], [0.2771, 0.5541, 0.1096], [0.2771, 0.5541, 0.8904]], "e_tot_ev_per_atom": -3.7054, "sg": "Amm2, No. 38", "dos_at_fermi_per_ev_atom": 1.0841, "total_magnetization_mub_per_atom": 0.192}

***

# 2
{"formula": "Ba2ScH8", "functional": "PBE", "state": "relaxed", "lattice_angstrom": [[4.2458, 0.0000, 0.0000], [0.0000, 5.7332, -0.1786], [-2.1229, -2.6730, 6.2835]], "species": ["H", "H", "H", "H", "H", "H", "H", "H", "Ba", "Ba", "Sc"], "fractional_positions": [[0.3875, 0.6412, 0.7750], [0.0000, 0.0788, 0.0000], [0.1948, 0.1950, 0.3896], [0.0000, 0.9212, 0.0000], [0.3873, 0.1333, 0.7747], [0.8052, 0.8050, 0.6104], [0.6127, 0.8667, 0.2253], [0.6125, 0.3588, 0.2250], [0.8184, 0.3183, 0.6367], [0.1816, 0.6817, 0.3633], [0.5000, 0.0000, 0.0000]], "e_tot_ev_per_atom": -3.6536, "sg": "Immm, No. 71", "dos_at_fermi_per_ev_atom": 0.1028, "total_magnetization_mub_per_atom": 0.000}

***

# 3
{"formula": "BaSc2H", "functional": "PBE", "state": "relaxed", "lattice_angstrom": [[-4.4812, 2.3188, -0.4004], [-2.7824, -1.6746, 3.8823], [0.0433, 3.7103, 3.4424]], "species": ["H", "Sc", "Sc", "Ba"], "fractional_positions": [[0.0000, 0.0000, 0.0000], [0.8381, 0.8381, 0.8381], [0.1619, 0.1619, 0.1619], [0.5000, 0.5000, 0.5000]], "e_tot_ev_per_atom": -3.9988, "sg": "R-3m, No. 166", "dos_at_fermi_per_ev_atom": 1.3361, "total_magnetization_mub_per_atom": 0.216}

***

# 4
{"formula": "BaSc2H", "functional": "PBE", "state": "relaxed", "lattice_angstrom": [[-4.3358, -2.5607, 4.4950], [5.1629, -2.5125, 3.5488], [0.6450, 1.5121, 6.5516]], "species": ["Ba", "Ba", "Sc", "Sc", "Sc", "Sc", "H", "H"], "fractional_positions": [[0.7500, 0.2500, 0.5000], [0.0000, 0.0000, 0.0000], [0.3740, 0.1250, 0.2500], [0.3750, 0.6260, 0.7500], [0.8750, 0.6240, 0.7500], [0.3760, 0.6250, 0.2500], [0.2500, 0.7500, 0.5000], [0.5000, 0.5000, 0.0000]], "e_tot_ev_per_atom": -4.4554, "sg": "I-42d, No. 122", "dos_at_fermi_per_ev_atom": 2.1320, "total_magnetization_mub_per_atom": 0.390}

***

# 5
{"formula": "Ba2ZrScH", "functional": "PBE", "state": "relaxed", "lattice_angstrom": [[-4.2357, 1.0010, -3.2971], [-2.1056, -3.9793, 1.4969], [-2.4496, 2.7996, 3.9969]], "species": ["Ba", "Ba", "H", "Sc", "Zr"], "fractional_positions": [[0.5000, 0.0000, 0.0000], [0.0000, 0.0000, 0.5000], [0.0000, 0.0000, 0.0000], [0.5000, 0.5000, 0.5000], [0.0000, 0.5000, 0.0000]], "e_tot_ev_per_atom": -4.0642, "sg": "P4/mmm, No. 123", "dos_at_fermi_per_ev_atom": 1.2766, "total_magnetization_mub_per_atom": 0.000}

***

# 6
{"formula": "Ba12H5Se3", "functional": "PBE", "state": "relaxed", "lattice_angstrom": [[15.4734, 0.0000, 0.0000], [-5.1578, 14.5885, 0.0000], [-5.1578, -7.2942, 12.6340]], "species": ["Se", "Se", "Se", "Se", "Se", "Se", "Se", "Se", "Se", "Se", "Se", "Se", "H", "H", "H", "H", "H", "H", "H", "H", "H", "H", "H", "H", "H", "H", "H", "H", "H", "H", "H", "H", "Ba", "Ba", "Ba", "Ba", "Ba", "Ba", "Ba", "Ba", "Ba", "Ba", "Ba", "Ba", "Ba", "Ba", "Ba", "Ba", "Ba", "Ba", "Ba", "Ba", "Ba", "Ba", "Ba", "Ba", "Ba", "Ba", "Ba", "Ba", "Ba", "Ba", "Ba", "Ba", "Ba", "Ba", "Ba", "Ba", "Ba", "Ba", "Ba", "Ba", "Ba", "Ba", "Ba", "Ba", "Ba", "Ba", "Ba", "Ba"], "fractional_positions": [[0.3750, 0.7500, 0.6250], [0.6250, 0.2500, 0.3750], [0.2500, 0.1250, 0.3750], [0.8750, 0.1250, 0.2500], [0.2500, 0.6250, 0.8750], [0.1250, 0.8750, 0.7500], [0.6250, 0.3750, 0.7500], [0.8750, 0.7500, 0.1250], [0.7500, 0.8750, 0.6250], [0.7500, 0.3750, 0.1250], [0.1250, 0.2500, 0.8750], [0.3750, 0.6250, 0.2500], [0.1250, 0.7500, 0.3750], [0.7500, 0.1250, 0.8750], [0.5000, 0.5000, 0.0000], [0.3750, 0.1250, 0.7500], [0.7500, 0.6250, 0.3750], [0.0000, 0.5000, 0.0000], [0.6250, 0.7500, 0.8750], [0.3750, 0.2500, 0.1250], [0.0000, 0.0000, 0.0000], [0.8750, 0.2500, 0.6250], [0.0000, 0.0000, 0.5000], [0.2500, 0.3750, 0.6250], [0.1250, 0.3750, 0.2500], [0.5000, 0.0000, 0.5000], [0.8750, 0.6250, 0.7500], [0.6250, 0.8750, 0.2500], [0.5000, 0.0000, 0.0000], [0.0000, 0.5000, 0.5000], [0.2500, 0.8750, 0.1250], [0.5000, 0.5000, 0.5000], [0.8106, 0.9052, 0.2837], [0.4052, 0.2837, 0.3106], [0.3106, 0.7837, 0.4052], [0.4731, 0.7837, 0.8785], [0.9054, 0.8106, 0.5269], [0.0269, 0.6215, 0.7163], [0.2163, 0.6894, 0.0948], [0.7837, 0.3106, 0.9052], [0.5948, 0.7163, 0.6894], [0.8785, 0.5948, 0.9054], [0.6894, 0.4731, 0.5946], [0.5269, 0.2163, 0.1215], [0.7163, 0.1215, 0.0269], [0.0948, 0.9054, 0.3785], [0.9731, 0.5946, 0.1894], [0.3106, 0.5269, 0.4054], [0.8785, 0.2837, 0.4731], [0.4054, 0.0269, 0.3106], [0.9054, 0.0948, 0.8785], [0.4054, 0.3785, 0.5948], [0.2163, 0.5269, 0.6215], [0.1894, 0.0948, 0.7163], [0.2837, 0.4052, 0.8106], [0.0948, 0.1894, 0.2163], [0.1215, 0.4052, 0.0946], [0.7163, 0.5948, 0.1894], [0.2837, 0.8785, 0.9731], [0.3785, 0.9731, 0.7837], [0.4731, 0.6894, 0.0946], [0.5946, 0.9731, 0.6894], [0.6215, 0.0269, 0.2163], [0.4052, 0.1215, 0.5946], [0.0946, 0.1894, 0.4731], [0.9731, 0.3785, 0.2837], [0.5946, 0.6215, 0.4052], [0.8106, 0.9054, 0.0269], [0.7837, 0.4731, 0.3785], [0.5948, 0.8785, 0.4054], [0.0269, 0.4054, 0.8106], [0.1215, 0.7163, 0.5269], [0.3785, 0.4054, 0.0948], [0.6215, 0.5946, 0.9052], [0.0946, 0.9052, 0.1215], [0.6894, 0.2163, 0.5948], [0.9052, 0.8106, 0.7837], [0.1894, 0.0946, 0.9731], [0.5269, 0.3106, 0.9054], [0.9052, 0.0946, 0.6215]], "e_tot_ev_per_atom": -3.1235, "sg": "Ia-3d, No. 230", "dos_at_fermi_per_ev_atom": 0.9419, "total_magnetization_mub_per_atom": 0.201}

***

# 7
{"formula": "BaH2Se", "functional": "PBE", "state": "relaxed", "lattice_angstrom": [[-0.5368, -2.3521, 3.9260], [2.0560, -3.6555, -1.9090], [7.2655, -0.5705, 3.3559]], "species": ["H", "H", "H", "H", "Se", "Se", "Ba", "Ba"], "fractional_positions": [[0.3750, 0.4793, 0.7500], [0.2293, 0.6250, 0.2500], [0.8750, 0.7707, 0.7500], [0.5207, 0.1250, 0.2500], [0.2500, 0.7500, 0.5000], [0.5000, 0.5000, 0.0000], [0.0000, 0.0000, 0.0000], [0.7500, 0.2500, 0.5000]], "e_tot_ev_per_atom": -3.2098, "sg": "I-42d, No. 122", "dos_at_fermi_per_ev_atom": 0.1691, "total_magnetization_mub_per_atom": 0.000}

***

# 8
{"formula": "BaH2Se", "functional": "PBE", "state": "relaxed", "lattice_angstrom": [[0.0000, 3.2681, 3.2681], [3.2681, 0.0000, 3.2681], [3.2681, 3.2681, 0.0000]], "species": ["H", "H", "Ba", "Se"], "fractional_positions": [[0.7500, 0.7500, 0.7500], [0.2500, 0.2500, 0.2500], [0.5000, 0.5000, 0.5000], [0.0000, 0.0000, 0.0000]], "e_tot_ev_per_atom": -3.3083, "sg": "Fm-3m, No. 225", "dos_at_fermi_per_ev_atom": 0.2121, "total_magnetization_mub_per_atom": 0.000}

***

# 9
{"formula": "BaH2Se", "functional": "PBE", "state": "relaxed", "lattice_angstrom": [[-1.2899, -0.2072, -4.4248], [8.4345, -5.2204, 2.5718], [-2.6057, -3.7493, 0.9352]], "species": ["H", "H", "H", "H", "Se", "Se", "Ba", "Ba"], "fractional_positions": [[0.7086, 0.4574, 0.8312], [0.2914, 0.5426, 0.3312], [0.2914, 0.5426, 0.1688], [0.7086, 0.4574, 0.6688], [0.5750, 0.8244, 0.7500], [0.4250, 0.1756, 0.2500], [0.9255, 0.1763, 0.7500], [0.0745, 0.8237, 0.2500]], "e_tot_ev_per_atom": -3.9817, "sg": "P2_1/m, No. 11", "dos_at_fermi_per_ev_atom": 0.0000, "total_magnetization_mub_per_atom": 0.000}

***

# 10
{"formula": "BaHSe3", "functional": "PBE", "state": "relaxed", "lattice_angstrom": [[4.7666, 0.0000, 0.0000], [0.0000, 4.7666, 0.0000], [0.0000, 0.0000, 4.7666]], "species": ["Se", "Se", "Se", "H", "Ba"], "fractional_positions": [[0.0000, 0.5000, 0.0000], [0.0000, 0.0000, 0.5000], [0.5000, 0.0000, 0.0000], [0.0000, 0.0000, 0.0000], [0.5000, 0.5000, 0.5000]], "e_tot_ev_per_atom": -3.4041, "sg": "Pm-3m, No. 221", "dos_at_fermi_per_ev_atom": 0.7645, "total_magnetization_mub_per_atom": 0.000}

***

# 11
{"formula": "BaHSe3", "functional": "PBE", "state": "relaxed", "lattice_angstrom": [[6.4970, 0.0000, 0.0000], [0.0000, 6.4970, 0.0000], [0.0000, 0.0000, 6.4970]], "species": ["Se", "Se", "Se", "H", "Ba"], "fractional_positions": [[0.5000, 0.0000, 0.0000], [0.0000, 0.0000, 0.5000], [0.0000, 0.5000, 0.0000], [0.5000, 0.5000, 0.5000], [0.0000, 0.0000, 0.0000]], "e_tot_ev_per_atom": -2.5667, "sg": "Pm-3m, No. 221", "dos_at_fermi_per_ev_atom": 0.9882, "total_magnetization_mub_per_atom": 1.000}

***

# 12
{"formula": "BaH2Se", "functional": "PBE", "state": "relaxed", "lattice_angstrom": [[1.3291, -0.2672, -6.3425], [6.2759, -0.5282, 1.3374], [-4.0203, -2.0446, 2.5598]], "species": ["H", "H", "Se", "Ba"], "fractional_positions": [[0.1394, 0.1394, 0.2789], [0.2088, 0.7088, 0.4176], [0.4432, 0.4432, 0.8863], [0.7086, 0.2086, 0.4172]], "e_tot_ev_per_atom": -3.5537, "sg": "Imm2, No. 44", "total_magnetization_mub_per_atom": 0.000}